No. 1
Density functional theory data (PBE-GGA) for a geometry-optimized Mn2NbReIr structure.

Output
E_tot, eV per atom: -8.45
Formation energy, eV per atom: 1.490
Symmetry: P4/mmm

Lattice parameters (Å, degrees): 4.421 4.872 4.421 90.00 90.00 90.00
Each line ends with the local moment (μB).
Element x y z (fractional)
Mn  0.000  0.000  0.500  2.35
Mn  0.500  0.000  0.000  2.50
Ir  0.500  0.500  0.500  -0.05
Re  0.000  0.000  0.000  -0.36
Nb  0.000  0.500  0.000  -0.38

No. 2
Density functional theory data (PBE-GGA) for a geometry-optimized MnNbReIr structure.

Output
E_tot, eV per atom: -10.27
Formation energy, eV per atom: -0.137
Symmetry: F-43m

Lattice parameters (Å, degrees): 4.425 4.425 4.425 60.00 60.00 60.00
Each line ends with the local moment (μB).
Element x y z (fractional)
Nb  0.750  0.750  0.750  0.20
Ir  0.000  0.000  0.000  0.27
Mn  0.250  0.250  0.250  3.25
Re  0.500  0.500  0.500  -0.12